Version a
# LaNdErHg | the Alexandria database | GGA-PBE | optimized geometry
# - total moment (μB/atom) = 0.000
data_LaNdErHg
_cell_length_a 3.709
_cell_length_b 3.709
_cell_length_c 8.942
_cell_angle_alpha 90.00
_cell_angle_beta 90.00
_cell_angle_gamma 90.00
_space_group_name_H-M_alt 'P 4 m m'
_space_group_IT_number 99
_space_group_name_Hall 'P 4 -2'
loop_
_atom_site_label
_atom_site_type_symbol
_atom_site_fract_x
_atom_site_fract_y
_atom_site_fract_z
_atom_site_occupancy
La1 La 0.000 0.000 0.000 1
Nd1 Nd 0.500 0.500 0.709 1
Er1 Er 0.500 0.500 0.279 1
Hg1 Hg 0.000 0.000 0.474 1

Version b
# LaNdErHg | the Alexandria database | GGA-PBE | optimized geometry
# - total moment (μB/atom) = 0.027
data_LaNdErHg
_cell_length_a 7.867
_cell_length_b 7.867
_cell_length_c 7.867
_cell_angle_alpha 90.00
_cell_angle_beta 90.00
_cell_angle_gamma 90.00
_space_group_name_H-M_alt 'F -4 3 m'
_space_group_IT_number 216
_space_group_name_Hall 'F -4 2 3'
loop_
_atom_site_label
_atom_site_type_symbol
_atom_site_fract_x
_atom_site_fract_y
_atom_site_fract_z
_atom_site_occupancy
La1 La 0.000 0.000 0.000 1
Nd1 Nd 0.000 0.000 0.500 1
Er1 Er 0.250 0.250 0.250 1
Hg1 Hg 0.250 0.250 0.750 1

Going by the computed energies, the most stable comes first: version a, version b.

Version a
# LaPrErHg | the Alexandria database | GGA-PBE | optimized geometry
# - total moment (μB/atom) = 0.000
data_LaPrErHg
_cell_length_a 7.889
_cell_length_b 7.889
_cell_length_c 7.889
_cell_angle_alpha 90.00
_cell_angle_beta 90.00
_cell_angle_gamma 90.00
_space_group_name_H-M_alt 'F -4 3 m'
_space_group_IT_number 216
_space_group_name_Hall 'F -4 2 3'
loop_
_atom_site_label
_atom_site_type_symbol
_atom_site_fract_x
_atom_site_fract_y
_atom_site_fract_z
_atom_site_occupancy
La1 La 0.000 0.000 0.000 1
Pr1 Pr 0.000 0.000 0.500 1
Er1 Er 0.250 0.250 0.750 1
Hg1 Hg 0.250 0.250 0.250 1

Version b
# LaPrErHg | the Alexandria database | GGA-PBE | optimized geometry
# - total moment (μB/atom) = 0.000
data_LaPrErHg
_cell_length_a 3.721
_cell_length_b 3.721
_cell_length_c 8.953
_cell_angle_alpha 90.00
_cell_angle_beta 90.00
_cell_angle_gamma 90.00
_space_group_name_H-M_alt 'P 4 m m'
_space_group_IT_number 99
_space_group_name_Hall 'P 4 -2'
loop_
_atom_site_label
_atom_site_type_symbol
_atom_site_fract_x
_atom_site_fract_y
_atom_site_fract_z
_atom_site_occupancy
La1 La 0.000 0.000 0.000 1
Pr1 Pr 0.500 0.500 0.707 1
Er1 Er 0.500 0.500 0.277 1
Hg1 Hg 0.000 0.000 0.469 1

Going by the computed energies, the most stable comes first: version b, version a.

Version a
# LaErHgRu | the Alexandria database | GGA-PBE | optimized geometry
# - total moment (μB/atom) = 0.000
data_LaErHgRu
_cell_length_a 7.267
_cell_length_b 7.267
_cell_length_c 7.267
_cell_angle_alpha 90.00
_cell_angle_beta 90.00
_cell_angle_gamma 90.00
_space_group_name_H-M_alt 'F -4 3 m'
_space_group_IT_number 216
_space_group_name_Hall 'F -4 2 3'
loop_
_atom_site_label
_atom_site_type_symbol
_atom_site_fract_x
_atom_site_fract_y
_atom_site_fract_z
_atom_site_occupancy
La1 La 0.000 0.000 0.000 1
Er1 Er 0.000 0.000 0.500 1
Hg1 Hg 0.250 0.250 0.750 1
Ru1 Ru 0.250 0.250 0.250 1

Version b
# LaErHgRu | the Alexandria database | GGA-PBE | optimized geometry
# - total moment (μB/atom) = 0.000
data_LaErHgRu
_cell_length_a 3.522
_cell_length_b 3.522
_cell_length_c 7.754
_cell_angle_alpha 90.00
_cell_angle_beta 90.00
_cell_angle_gamma 90.00
_space_group_name_H-M_alt 'P 4 m m'
_space_group_IT_number 99
_space_group_name_Hall 'P 4 -2'
loop_
_atom_site_label
_atom_site_type_symbol
_atom_site_fract_x
_atom_site_fract_y
_atom_site_fract_z
_atom_site_occupancy
La1 La 0.000 0.000 0.000 1
Er1 Er 0.000 0.000 0.560 1
Hg1 Hg 0.500 0.500 0.307 1
Ru1 Ru 0.500 0.500 0.763 1

Going by the computed energies, the most stable comes first: version b, version a.

Version a
# LaSmErHg | the Alexandria database | GGA-PBE | optimized geometry
# - total moment (μB/atom) = 0.000
data_LaSmErHg
_cell_length_a 3.679
_cell_length_b 3.679
_cell_length_c 8.990
_cell_angle_alpha 90.00
_cell_angle_beta 90.00
_cell_angle_gamma 90.00
_space_group_name_H-M_alt 'P 4 m m'
_space_group_IT_number 99
_space_group_name_Hall 'P 4 -2'
loop_
_atom_site_label
_atom_site_type_symbol
_atom_site_fract_x
_atom_site_fract_y
_atom_site_fract_z
_atom_site_occupancy
La1 La 0.000 0.000 0.000 1
Sm1 Sm 0.500 0.500 0.710 1
Er1 Er 0.500 0.500 0.281 1
Hg1 Hg 0.000 0.000 0.481 1

Version b
# LaSmErHg | the Alexandria database | GGA-PBE | optimized geometry
# - total moment (μB/atom) = 0.011
data_LaSmErHg
_cell_length_a 7.832
_cell_length_b 7.832
_cell_length_c 7.832
_cell_angle_alpha 90.00
_cell_angle_beta 90.00
_cell_angle_gamma 90.00
_space_group_name_H-M_alt 'F -4 3 m'
_space_group_IT_number 216
_space_group_name_Hall 'F -4 2 3'
loop_
_atom_site_label
_atom_site_type_symbol
_atom_site_fract_x
_atom_site_fract_y
_atom_site_fract_z
_atom_site_occupancy
La1 La 0.000 0.000 0.000 1
Sm1 Sm 0.000 0.000 0.500 1
Er1 Er 0.250 0.250 0.750 1
Hg1 Hg 0.250 0.250 0.250 1

Going by the computed energies, the most stable comes first: version a, version b.